No. 1
The following is a DFT calculation (SCAN) of a crystal of Hf9CoW4 relaxed with PBEsol.

As for the space-group type: P6_3/mmc (194). For the electronic total energy, the calculation gives -61.57 eV/atom. The formation energy comes out at -133 meV/atom. As for the total moment: 0.000 μB/f.u.

Cell: 8.3665 8.5791 8.5791 Å, 120.00 90.00 90.00°
Positions (direct):
Hf  0.0591  0.2014  0.7986
Hf  0.0591  0.5973  0.7986
Hf  0.0591  0.2014  0.4027
Hf  0.9409  0.7986  0.2014
Hf  0.9409  0.4027  0.2014
Hf  0.9409  0.7986  0.5973
Hf  0.5591  0.7986  0.2014
Hf  0.5591  0.4027  0.2014
Hf  0.5591  0.7986  0.5973
Hf  0.4409  0.2014  0.7986
Hf  0.4409  0.5973  0.7986
Hf  0.4409  0.2014  0.4027
Hf  0.2500  0.5423  0.4577
Hf  0.2500  0.9154  0.4577
Hf  0.2500  0.5423  0.0846
Hf  0.7500  0.4577  0.5423
Hf  0.7500  0.0846  0.5423
Hf  0.7500  0.4577  0.9154
Co  0.2500  0.3333  0.6667
Co  0.7500  0.6667  0.3333
W  0.2500  0.8879  0.1121
W  0.2500  0.2242  0.1121
W  0.2500  0.8879  0.7758
W  0.7500  0.1121  0.8879
W  0.7500  0.7758  0.8879
W  0.7500  0.1121  0.2242
W  0.0000  0.0000  0.0000
W  0.5000  0.0000  0.0000

No. 2
The following is a DFT calculation (SCAN) of a crystal of MnFeIr2 relaxed with PBEsol.

The energy relative to the lowest polymorph listed for this composition comes out at 0.05 eV per formula unit. As for the space-group type: I-4m2 (119). For the electronic total energy, the calculation gives -44.92 eV/atom. The formation energy comes out at -274 meV/atom. As for the total moment: 0.493 μB/f.u.

Cell: 3.6454 3.6454 4.5524 Å, 113.60 113.60 90.00°
Each line ends with the local moment (μB).
Positions (direct):
Fe  0.2500  0.7500  0.5000  -2.94
Ir  0.0000  0.0000  0.0000  -0.24
Ir  0.7500  0.2500  0.5000  -0.36
Mn  0.5000  0.5000  0.0000  2.98

No. 3
The following is a DFT calculation (SCAN) of a crystal of Sn2MoPbS relaxed with PBEsol.

For the formation energy (no corrections), the calculation gives 1.016 eV per atom. As for the space-group type: P4/mmm (123). For the electronic total energy, the calculation gives -37.41 eV/atom. As for the total moment: 4.238 μB/f.u.

Cell: 5.0932 5.0932 5.2859 Å, 90.00 90.00 90.00°
Each line ends with the local moment (μB).
Positions (direct):
Pb  0.0000  0.0000  0.5000  -0.03
Mo  0.5000  0.5000  0.5000  3.80
S  0.0000  0.0000  0.0000  -0.01
Sn  0.0000  0.5000  0.0000  -0.02
Sn  0.5000  0.0000  0.0000  -0.02

No. 4
The following is a DFT calculation (SCAN) of a crystal of NbSiOs3 relaxed with PBEsol.

For the formation energy (no corrections), the calculation gives 0.766 eV per atom. As for the space-group type: Pm-3m (221). For the electronic total energy, the calculation gives -50.99 eV/atom. As for the total moment: 0.000 μB/f.u.

Cell: 4.3173 4.3173 4.3173 Å, 90.00 90.00 90.00°
Positions (direct):
Nb  0.5000  0.5000  0.5000
Os  0.0000  0.5000  0.0000
Os  0.0000  0.0000  0.5000
Os  0.5000  0.0000  0.0000
Si  0.0000  0.0000  0.0000